ZrSc2Zn2: relaxed, PBE.

a = 3.341 Å, b = 4.792 Å, c = 12.425 Å
α = 90.00°, β = 97.72°, γ = 90.00°
Fractional positions:
Zr  0.147  0.250  0.295
Zr  0.853  0.750  0.705
Sc  0.046  0.750  0.093
Sc  0.236  0.750  0.471
Sc  0.764  0.250  0.529
Sc  0.954  0.250  0.907
Zn  0.359  0.250  0.717
Zn  0.450  0.750  0.901
Zn  0.550  0.250  0.099
Zn  0.641  0.750  0.283

Output
DOS(E_F) (states/eV/cell): 9.7
Symmetry: P2_1/m, No. 11
E (eV/atom): -5.006
ΔE to the lowest computed polymorph (kJ/mol of formula units): 0.0
Calculated formation energy (eV per atom): -0.254
Total moment (μB/atom): 0.00



Zr2Sc3Zn: relaxed, PBE.

a = 3.231 Å, b = 3.231 Å, c = 12.616 Å
α = 90.00°, β = 90.00°, γ = 90.00°
Fractional positions:
Zr  0.000  0.000  0.181
Zr  0.000  0.000  0.819
Sc  0.500  0.500  0.000
Sc  0.500  0.500  0.356
Sc  0.500  0.500  0.644
Zn  0.000  0.000  0.500

Output
DOS(E_F) (states/eV/cell): 7.3
Symmetry: P4/mmm, No. 123
E (eV/atom): -6.352
Calculated formation energy (eV per atom): -0.125
Total moment (μB/atom): 0.00



ZrScZn2: relaxed, PBE.

a = 3.285 Å, b = 3.327 Å, c = 6.839 Å
α = 90.00°, β = 90.00°, γ = 90.00°
Fractional positions:
Zr  0.000  0.000  0.000
Sc  0.000  0.000  0.500
Zn  0.500  0.500  0.257
Zn  0.500  0.500  0.743

Output
DOS(E_F) (states/eV/cell): 4.2
Symmetry: Pmmm, No. 47
E (eV/atom): -4.676
Calculated formation energy (eV per atom): -0.319
Total moment (μB/atom): 0.00



ZrScZn3: relaxed, PBE.

a = 4.814 Å, b = 4.814 Å, c = 4.814 Å
α = 90.00°, β = 90.00°, γ = 90.00°
Fractional positions:
Zr  0.000  0.000  0.000
Sc  0.500  0.500  0.500
Zn  0.000  0.500  0.500
Zn  0.500  0.000  0.500
Zn  0.500  0.500  0.000

Output
DOS(E_F) (states/eV/cell): 5.5
Symmetry: Pm-3m, No. 221
E (eV/atom): -2.964
ΔE to the lowest computed polymorph (kJ/mol of formula units): 514.0
Calculated formation energy (eV per atom): 0.777
Total moment (μB/atom): 0.00



ZrSc2Zn: relaxed, PBE.

a = 5.458 Å, b = 5.458 Å, c = 5.458 Å
α = 133.64°, β = 133.64°, γ = 67.65°
Fractional positions:
Zr  0.000  0.000  0.000
Sc  0.250  0.750  0.500
Sc  0.500  0.500  0.000
Zn  0.750  0.250  0.500

Output
DOS(E_F) (states/eV/cell): 6.1
Symmetry: I-4m2, No. 119
E (eV/atom): -5.684
Calculated formation energy (eV per atom): -0.063
Total moment (μB/atom): 0.00



ZrSc2Zn: relaxed, PBE.

a = 5.921 Å, b = 5.921 Å, c = 5.921 Å
α = 146.51°, β = 131.52°, γ = 60.21°
Fractional positions:
Zr  0.000  0.000  0.000
Sc  0.280  0.780  0.500
Sc  0.720  0.220  0.500
Zn  0.500  0.500  0.000

Output
DOS(E_F) (states/eV/cell): 3.8
Symmetry: Immm, No. 71
E (eV/atom): -5.752
Calculated formation energy (eV per atom): -0.130
Total moment (μB/atom): 0.00